[1]
A plane-wave DFT calculation with PBE was carried out for a geometry-optimized Nb4FeRe3 structure.

a b c (Å): 3.1941 3.1941 12.6442
angles (deg): 90.00 90.00 90.00
Each line ends with the local moment (μB).
Element x y z (fractional)
Re (0.5000, 0.5000, 0.2448)  -0.01
Re (0.5000, 0.5000, 0.5000)  0.01
Re (0.5000, 0.5000, 0.7552)  -0.01
Nb (0.0000, 0.0000, 0.8805)  -0.15
Nb (0.0000, 0.0000, 0.1195)  -0.15
Nb (0.0000, 0.0000, 0.3726)  -0.01
Nb (0.0000, 0.0000, 0.6274)  -0.01
Fe (0.5000, 0.5000, 0.0000)  1.51

Values from the calculation:
space-group type = P4/mmm (123)
energy of formation from the pure elements = -208 meV per atom
total magnetization = 0.1354 μB/atom

[2]
A plane-wave DFT calculation with PBE was carried out for a geometry-optimized NbFeRe2 structure.

a b c (Å): 2.7410 2.7410 9.6466
angles (deg): 81.83 81.83 60.00
Each line ends with the local moment (μB).
Element x y z (fractional)
Re (0.0940, 0.0940, 0.7180)  -0.10
Re (0.9060, 0.9060, 0.2820)  -0.10
Nb (0.0000, 0.0000, 0.0000)  -0.02
Fe (0.5000, 0.5000, 0.5000)  1.49

Values from the calculation:
space-group type = R-3m (166)
energy of formation from the pure elements = 514 meV per atom
total magnetization = 0.3114 μB/atom

[3]
A plane-wave DFT calculation with PBE was carried out for a geometry-optimized NbFe2Re structure.

a b c (Å): 3.6417 3.6417 9.7561
angles (deg): 79.24 79.24 90.00
Each line ends with the local moment (μB).
Element x y z (fractional)
Re (0.0000, 0.0000, 0.0000)  0.08
Re (0.7500, 0.2500, 0.5000)  0.07
Nb (0.5000, 0.5000, 0.0000)  -0.15
Nb (0.2500, 0.7500, 0.5000)  -0.15
Fe (0.6444, 0.1250, 0.2500)  2.36
Fe (0.1056, 0.6250, 0.2500)  2.36
Fe (0.3750, 0.3556, 0.7500)  2.36
Fe (0.8750, 0.8944, 0.7500)  2.36

Values from the calculation:
space-group type = I-42d (122)
energy of formation from the pure elements = 667 meV per atom
total magnetization = 1.1716 μB/atom

Q: The lowest total magnetization belongs to which entry?
A: Nb4FeRe3

Q: Which formula does entry 1 have?
A: Nb4FeRe3